The following is a DFT calculation (PBE-GGA) of a relaxed structure of LiAc2F8.

a b c (Å): 4.198 5.721 7.858
angles (deg): 116.27 105.49 90.00
Each line ends with the local moment (μB).
Positions (direct):
F: 0.222 0.315 0.445  0.09
F: 0.017 0.762 0.033  0.20
F: 0.669 0.932 0.337  0.05
F: 0.589 0.366 0.178  0.16
Li: 0.500 0.000 0.000  0.00
Ac: 0.839 0.348 0.678  0.00
F: 0.331 0.068 0.663  0.05
F: 0.983 0.238 0.967  0.20
F: 0.411 0.634 0.822  0.16
F: 0.778 0.685 0.555  0.09
Ac: 0.161 0.652 0.322  0.00

## Properties
For the uncorrected formation energy, the calculation gives -3.511 eV per atom. As for the total magnetization: 1.090 μB/cell. The calculation puts the calculated volume at 161.5 Å³/cell.

The following is a DFT calculation (PBE-GGA) of a relaxed structure of LiAcF3.

a b c (Å): 4.039 4.039 4.039
angles (deg): 90.00 90.00 90.00
Positions (direct):
F: 0.000 0.000 0.500
Li: 0.000 0.000 0.000
F: 0.000 0.500 0.000
F: 0.500 0.000 0.000
Ac: 0.500 0.500 0.500

## Properties
For the uncorrected formation energy, the calculation gives -3.070 eV per atom. As for the total magnetization: 0.000 μB/cell. For the offset from the most stable computed form, the calculation gives 162.9 meV/atom. The calculation puts the calculated volume at 65.9 Å³/cell.